No. 1
A PBEsol-optimized structure of NaLaSe2, computed with meta-GGA SCAN.

abc: 4.2973 4.2973 5.8503
angles: 90.00 90.00 90.00
Element x y z (fractional)
La (0.5000, 0.5000, 0.5000)
Se (0.0000, 0.0000, 0.5000)
Na (0.0000, 0.0000, 0.0000)
Se (0.5000, 0.5000, 0.0000)

Properties
formation energy from raw total energies: -1928 meV per atom
density: 4.92 g/cm3
size of the total moment: 0.0 μB per formula unit

No. 2
A PBEsol-optimized structure of NaLaSe2, computed with meta-GGA SCAN.

abc: 4.3314 4.3314 7.2574
angles: 72.64 72.64 60.00
Element x y z (fractional)
Na (0.0000, 0.0000, 0.0000)
La (0.5000, 0.5000, 0.5000)
Se (0.2463, 0.2463, 0.2611)
Se (0.7537, 0.7537, 0.7389)

Properties
formation energy from raw total energies: -1997 meV per atom
density: 4.80 g/cm3
size of the total moment: 0.0 μB per formula unit

No. 3
A PBEsol-optimized structure of NaLaSi3, computed with meta-GGA SCAN.

abc: 4.8222 4.8222 4.8222
angles: 90.00 90.00 90.00
Element x y z (fractional)
Si (0.0000, 0.0000, 0.5000)
La (0.5000, 0.5000, 0.5000)
Na (0.0000, 0.0000, 0.0000)
Si (0.5000, 0.0000, 0.0000)
Si (0.0000, 0.5000, 0.0000)

Properties
formation energy from raw total energies: 689 meV per atom
density: 3.65 g/cm3
size of the total moment: 0.0 μB per formula unit

No. 4
A PBEsol-optimized structure of NaLa2SiTe, computed with meta-GGA SCAN.

abc: 5.0968 5.6640 5.6640
angles: 90.00 90.00 90.00
Element x y z (fractional)
La (0.0000, 0.5000, 0.0000)
Na (0.5000, 0.0000, 0.0000)
Si (0.0000, 0.0000, 0.0000)
La (0.0000, 0.0000, 0.5000)
Te (0.5000, 0.5000, 0.5000)

Properties
formation energy from raw total energies: -549 meV per atom
density: 4.64 g/cm3
size of the total moment: 0.0 μB per formula unit

No. 5
A PBEsol-optimized structure of NaLa2Sn2, computed with meta-GGA SCAN.

abc: 4.5180 8.2358 8.2358
angles: 90.00 90.00 90.00
Element x y z (fractional)
La (0.5000, 0.3248, 0.1752)
Na (0.0000, 0.5000, 0.5000)
La (0.5000, 0.1752, 0.6752)
Sn (0.0000, 0.1243, 0.3757)
Sn (0.0000, 0.8757, 0.6243)
Sn (0.0000, 0.3757, 0.8757)
Sn (0.0000, 0.6243, 0.1243)
Na (0.0000, 0.0000, 0.0000)
La (0.5000, 0.8248, 0.3248)
La (0.5000, 0.6752, 0.8248)

Properties
formation enthalpy at 0 K: -0.74 eV per atom
density: 5.83 g/cm3
size of the total moment: 0.9 μB per formula unit

No. 6
A PBEsol-optimized structure of Na3LaSn, computed with meta-GGA SCAN.

abc: 5.9687 5.9687 5.9687
angles: 90.00 90.00 90.00
Element x y z (fractional)
Na (0.0000, 0.0000, 0.5000)
Na (0.0000, 0.5000, 0.0000)
La (0.0000, 0.0000, 0.0000)
Na (0.5000, 0.0000, 0.0000)
Sn (0.5000, 0.5000, 0.5000)

Properties
formation enthalpy at 0 K: 1.08 eV per atom
density: 2.55 g/cm3
size of the total moment: 2.9 μB per formula unit

No. 7
A PBEsol-optimized structure of NaSrLa2Te, computed with meta-GGA SCAN.

abc: 5.2881 5.8190 5.8190
angles: 90.00 90.00 90.00
Element x y z (fractional)
Na (0.5000, 0.0000, 0.0000)
Sr (0.0000, 0.0000, 0.0000)
La (0.0000, 0.5000, 0.0000)
La (0.0000, 0.0000, 0.5000)
Te (0.5000, 0.5000, 0.5000)

Properties
formation energy from raw total energies: 644 meV per atom
density: 4.79 g/cm3
size of the total moment: 0.0 μB per formula unit

No. 8
A PBEsol-optimized structure of Na2SrLaZr, computed with meta-GGA SCAN.

abc: 5.5060 5.5060 5.6628
angles: 90.00 90.00 90.00
Element x y z (fractional)
Na (0.5000, 0.0000, 0.0000)
Zr (0.0000, 0.0000, 0.5000)
La (0.5000, 0.5000, 0.5000)
Sr (0.0000, 0.0000, 0.0000)
Na (0.0000, 0.5000, 0.0000)

Properties
formation enthalpy at 0 K: 1.03 eV per atom
density: 3.52 g/cm3
size of the total moment: 2.2 μB per formula unit

- Among the records above, which one has the lowest density?
  Na3LaSn